Material: SrPdW
Method: DFT, PBE
State: relaxed

Computed properties:
energy relative to the elements: 0.2302 eV/atom
final energy: -76.55 eV per cell

Cell lengths 8.4482, 3.4364, 9.6017 Å; angles 90.00, 90.00, 90.00 degrees
Last column: nearest neighbours and their distance in Å.
Element x y z (fractional)
Sr 0.9327 0.2500 0.8254  5 Pd 3.03-3.25
Sr 0.5673 0.7500 0.3254  5 Pd 3.03-3.25
Sr 0.0673 0.7500 0.1746  5 Pd 3.03-3.25
Sr 0.4327 0.2500 0.6746  5 Pd 3.03-3.25
Pd 0.2558 0.2500 0.3745  2 W 2.71, 2 Sr 3.03
Pd 0.2442 0.7500 0.8745  2 W 2.71, 2 Sr 3.03
Pd 0.7442 0.7500 0.6255  2 W 2.71, 2 Sr 3.03
Pd 0.7558 0.2500 0.1255  2 W 2.71, 2 Sr 3.03
W 0.9052 0.2500 0.4587  2 W 2.48, 2 Pd 2.71
W 0.5948 0.7500 0.9587  2 W 2.48, 2 Pd 2.71
W 0.0948 0.7500 0.5413  2 W 2.48, 2 Pd 2.71
W 0.4052 0.2500 0.0413  2 W 2.48, 2 Pd 2.71